The following is a PBE calculation of a geometry-optimized TiAgO structure, from Alexandria.

Output
Distance to the lowest polymorph of the same formula (eV/atom): 0.089
Fermi-level density of states (states/eV/f.u.): 1.4

Lattice parameters (Å, degrees): 5.772 2.830 11.290 90.00 102.49 90.00
Fractional coordinates of all 12 atoms:
O 0.937 0.000 0.558
O 0.937 0.500 0.058
O 0.089 0.000 0.786
O 0.089 0.500 0.286
Ti 0.912 0.500 0.682
Ti 0.005 0.500 0.437
Ti 0.005 0.000 0.937
Ti 0.912 0.000 0.182
Ag 0.553 0.000 0.309
Ag 0.449 0.500 0.065
Ag 0.449 0.000 0.565
Ag 0.553 0.500 0.809

---

The following is a PBE calculation of a geometry-optimized TiAgO structure, from Alexandria.

Output
Distance to the lowest polymorph of the same formula (eV/atom): 0.000
Fermi-level density of states (states/eV/f.u.): 2.5

Lattice parameters (Å, degrees): 3.056 3.056 12.447 75.74 75.74 60.00
Fractional coordinates of all 6 atoms:
Ti 0.077 0.077 0.855
Ti 0.677 0.677 0.453
O 0.454 0.454 0.789
O 0.299 0.299 0.518
Ag 0.277 0.277 0.054
Ag 0.476 0.476 0.254

---

The following is a PBE calculation of a geometry-optimized TiAgO structure, from Alexandria.

Output
Distance to the lowest polymorph of the same formula (eV/atom): 0.024
Fermi-level density of states (states/eV/f.u.): 2.1

Lattice parameters (Å, degrees): 2.823 5.160 6.343 90.00 103.71 90.00
Fractional coordinates of all 6 atoms:
O 0.500 0.691 0.000
O 0.500 0.191 0.000
Ag 0.238 0.431 0.487
Ag 0.762 0.931 0.513
Ti 0.055 0.941 0.104
Ti 0.945 0.441 0.896

---

The following is a PBE calculation of a geometry-optimized Ti2AgO structure, from Alexandria.

Output
E_tot (eV/f.u.): -27.5
Fermi-level density of states (states/eV/f.u.): 5.3

Lattice parameters (Å, degrees): 6.130 6.130 5.467 55.90 55.90 90.00
Fractional coordinates of all 8 atoms:
O 0.250 0.750 0.500
O 0.500 0.500 0.000
Ag 0.000 0.000 0.000
Ag 0.750 0.250 0.500
Ti 0.519 0.125 0.250
Ti 0.375 0.481 0.750
Ti 0.875 0.769 0.750
Ti 0.231 0.625 0.250

---

The following is a PBE calculation of a geometry-optimized TiAgO structure, from Alexandria.

Output
Distance to the lowest polymorph of the same formula (eV/atom): 0.016
Fermi-level density of states (states/eV/f.u.): 1.5

Lattice parameters (Å, degrees): 2.887 5.267 6.267 86.33 89.90 74.07
Fractional coordinates of all 6 atoms:
Ti 0.638 0.143 0.065
Ti 0.872 0.678 0.840
Ag 0.554 0.318 0.574
Ag 0.279 0.867 0.443
O 0.259 0.902 0.962
O 0.005 0.411 0.062

---

The following is a PBE calculation of a geometry-optimized TiAgO structure, from Alexandria.

Output
Distance to the lowest polymorph of the same formula (eV/atom): 0.160
Fermi-level density of states (states/eV/f.u.): 2.1

Lattice parameters (Å, degrees): 3.283 3.283 5.118 90.00 90.00 120.00
Fractional coordinates of all 3 atoms:
Ag 0.333 0.667 0.000
Ti 0.667 0.333 0.500
O 0.000 0.000 0.500

---

The following is a PBE calculation of a geometry-optimized TiAg2O3 structure, from Alexandria.

Output
E_tot (eV/f.u.): -37.6

Lattice parameters (Å, degrees): 9.879 9.879 5.061 71.60 71.60 46.98
Fractional coordinates of all 24 atoms:
O 0.320 0.937 0.921
O 0.301 0.431 0.028
O 0.431 0.301 0.528
O 0.430 0.570 0.250
O 0.680 0.063 0.079
O 0.570 0.430 0.750
O 0.937 0.320 0.421
O 0.699 0.569 0.972
O 0.569 0.699 0.472
O 0.759 0.241 0.250
O 0.063 0.680 0.579
O 0.241 0.759 0.750
Ag 0.010 0.829 0.119
Ag 0.624 0.880 0.257
Ag 0.171 0.990 0.381
Ag 0.829 0.010 0.619
Ag 0.120 0.376 0.243
Ag 0.990 0.171 0.881
Ag 0.376 0.120 0.743
Ag 0.880 0.624 0.757
Ti 0.542 0.304 0.144
Ti 0.696 0.458 0.356
Ti 0.458 0.696 0.856
Ti 0.304 0.542 0.644

---

The following is a PBE calculation of a geometry-optimized TiAgO structure, from Alexandria.

Output
Distance to the lowest polymorph of the same formula (eV/atom): 0.058
Fermi-level density of states (states/eV/f.u.): 2.9

Lattice parameters (Å, degrees): 3.125 3.122 5.800 90.06 105.62 119.96
Fractional coordinates of all 3 atoms:
Ag 0.763 0.295 0.933
O 0.454 0.141 0.472
Ti 0.697 0.763 0.336

---

The following is a PBE calculation of a geometry-optimized Ti2AgO structure, from Alexandria.

Output
E_tot (eV/f.u.): -28.3
Fermi-level density of states (states/eV/f.u.): 3.5

Lattice parameters (Å, degrees): 3.011 3.011 7.249 78.01 78.01 60.00
Fractional coordinates of all 4 atoms:
Ag 0.499 0.499 0.502
Ti 0.277 0.277 0.168
Ti 0.056 0.056 0.832
O 0.667 0.667 0.998

---

The following is a PBE calculation of a geometry-optimized TiTlAg2O4 structure, from Alexandria.

Output
E_tot (eV/f.u.): -45.6
Fermi-level density of states (states/eV/f.u.): 2.7

Lattice parameters (Å, degrees): 5.178 5.177 6.225 114.64 114.62 89.98
Fractional coordinates of all 8 atoms:
Ag 0.236 0.236 0.472
Ag 0.486 0.985 0.972
Ti 0.736 0.736 0.472
O 0.842 0.428 0.260
O 0.640 0.630 0.683
O 0.419 0.831 0.260
O 0.043 0.053 0.683
Tl 0.985 0.486 0.972

---

The following is a PBE calculation of a geometry-optimized UTi2AgO8 structure, from Alexandria.

Output
E_tot (eV/f.u.): -99.1
Fermi-level density of states (states/eV/f.u.): 3.3

Lattice parameters (Å, degrees): 4.917 4.913 6.244 87.68 92.29 90.50
Fractional coordinates of all 12 atoms:
U 0.000 0.000 0.000
O 0.675 0.676 0.500
O 0.690 0.691 0.000
O 0.787 0.214 0.242
O 0.325 0.324 0.500
O 0.220 0.778 0.212
O 0.213 0.786 0.758
O 0.780 0.222 0.788
O 0.310 0.309 0.000
Ti 0.513 0.488 0.263
Ti 0.487 0.512 0.737
Ag 0.000 0.000 0.500

---

The following is a PBE calculation of a geometry-optimized UTiAgO6 structure, from Alexandria.

Output
E_tot (eV/f.u.): -72.4
Fermi-level density of states (states/eV/f.u.): 6.0

Lattice parameters (Å, degrees): 5.462 5.462 9.419 90.00 90.00 120.00
Fractional coordinates of all 18 atoms:
Ti 0.667 0.333 0.750
Ti 0.333 0.667 0.250
O 0.986 0.357 0.639
O 0.629 0.643 0.139
O 0.371 0.357 0.861
O 0.371 0.014 0.639
O 0.643 0.629 0.639
O 0.629 0.986 0.361
O 0.357 0.986 0.139
O 0.986 0.629 0.861
O 0.357 0.371 0.361
O 0.643 0.014 0.861
O 0.014 0.371 0.139
O 0.014 0.643 0.361
U 0.667 0.333 0.250
U 0.333 0.667 0.750
Ag 0.000 0.000 0.500
Ag 0.000 0.000 0.000